Entry 1:
# HIrBr3 (meta-GGA SCAN, single point on PBEsol structure)
data_HIrBr3
_symmetry_space_group_name_H-M 'P 1'
_symmetry_Int_Tables_number 1
_cell_length_a 4.364
_cell_length_b 4.364
_cell_length_c 4.364
_cell_angle_alpha 90.00
_cell_angle_beta 90.00
_cell_angle_gamma 90.00
loop_
_symmetry_equiv_pos_as_xyz
'x,y,z'
loop_
_atom_site_label
_atom_site_type_symbol
_atom_site_fract_x
_atom_site_fract_y
_atom_site_fract_z
Br1 Br 0.000 0.500 0.000
Br2 Br 0.000 0.000 0.500
Br3 Br 0.500 0.000 0.000
H1 H 0.000 0.000 0.000
Ir1 Ir 0.500 0.500 0.500
# DOS at the Fermi energy, states/eV/atom: 0.9610
# Energy, eV per atom: -25.041

=====

Entry 2:
# MnH20C2S2N6O12 (meta-GGA SCAN, single point on PBEsol structure)
data_MnH20C2S2N6O12
_symmetry_space_group_name_H-M 'P 1'
_symmetry_Int_Tables_number 1
_cell_length_a 6.265
_cell_length_b 6.380
_cell_length_c 9.780
_cell_angle_alpha 90.89
_cell_angle_beta 82.31
_cell_angle_gamma 70.39
loop_
_symmetry_equiv_pos_as_xyz
'x,y,z'
loop_
_atom_site_label
_atom_site_type_symbol
_atom_site_fract_x
_atom_site_fract_y
_atom_site_fract_z
O1 O 0.914 0.848 0.327
O2 O 0.196 0.867 0.136
O3 O 0.804 0.133 0.864
O4 O 0.158 0.070 0.354
O5 O 0.842 0.930 0.646
O6 O 0.522 0.188 0.408
O7 O 0.086 0.152 0.673
O8 O 0.181 0.532 0.636
O9 O 0.680 0.337 0.666
O10 O 0.819 0.468 0.364
O11 O 0.478 0.812 0.592
O12 O 0.320 0.663 0.334
H1 H 0.950 0.325 0.364
H2 H 0.295 0.192 0.180
H3 H 0.202 0.165 0.837
H4 H 0.748 0.971 0.009
H5 H 0.123 0.404 0.640
H6 H 0.603 0.872 0.602
H7 H 0.329 0.938 0.615
H8 H 0.050 0.675 0.636
H9 H 0.877 0.596 0.360
H10 H 0.336 0.451 0.180
H11 H 0.397 0.128 0.398
H12 H 0.244 0.659 0.989
H13 H 0.705 0.808 0.820
H14 H 0.798 0.835 0.163
H15 H 0.671 0.062 0.385
H16 H 0.252 0.029 0.991
H17 H 0.246 0.526 0.826
H18 H 0.664 0.549 0.820
H19 H 0.756 0.341 0.011
H20 H 0.754 0.474 0.174
C1 C 0.277 0.334 0.994
C2 C 0.723 0.666 0.006
N1 N 0.734 0.482 0.071
N2 N 0.266 0.518 0.929
N3 N 0.268 0.153 0.929
N4 N 0.303 0.327 0.128
N5 N 0.732 0.847 0.071
N6 N 0.697 0.673 0.872
Mn1 Mn 0.500 0.500 0.500
S1 S 0.851 0.138 0.713
S2 S 0.149 0.862 0.287
# DOS at the Fermi energy, states/eV/atom: 0.0000
# Energy, eV per atom: -6.921

=====

Entry 3:
# BaCuIr2 (meta-GGA SCAN, single point on PBEsol structure)
data_BaCuIr2
_symmetry_space_group_name_H-M 'P 1'
_symmetry_Int_Tables_number 1
_cell_length_a 2.933
_cell_length_b 5.330
_cell_length_c 5.330
_cell_angle_alpha 117.86
_cell_angle_beta 90.00
_cell_angle_gamma 90.00
loop_
_symmetry_equiv_pos_as_xyz
'x,y,z'
loop_
_atom_site_label
_atom_site_type_symbol
_atom_site_fract_x
_atom_site_fract_y
_atom_site_fract_z
Cu1 Cu 0.500 0.500 0.500
Ir1 Ir 0.000 0.000 0.500
Ir2 Ir 0.000 0.500 0.000
Ba1 Ba 0.500 0.000 0.000
# DOS at the Fermi energy, states/eV/atom: 0.9412
# DFT formation energy, kJ/mol of formula units: 370.2